a:
Material: YHoMg
Method: DFT, GGA-PBE
State: optimized geometry

```
data_YHoMg
_space_group_name_H-M_alt 'I 4 m m'
_space_group_IT_number 107
_space_group_name_Hall 'I 4 -2'
_cell_length_a 3.708
_cell_length_b 3.708
_cell_length_c 12.580
_cell_angle_alpha 90.00
_cell_angle_beta 90.00
_cell_angle_gamma 90.00
loop_
_atom_site_label
_atom_site_fract_x
_atom_site_fract_y
_atom_site_fract_z
_atom_site_occupancy
Y1 0.000 0.000 0.000 1
Ho1 0.000 0.000 0.314 1
Mg1 0.000 0.000 0.658 1
```


b:
Material: YHoMg
Method: DFT, GGA-PBE
State: optimized geometry

```
data_YHoMg
_space_group_name_H-M_alt 'I 4/m m m'
_space_group_IT_number 139
_space_group_name_Hall '-I 4 2'
_cell_length_a 3.385
_cell_length_b 3.385
_cell_length_c 31.005
_cell_angle_alpha 90.00
_cell_angle_beta 90.00
_cell_angle_gamma 90.00
loop_
_atom_site_label
_atom_site_fract_x
_atom_site_fract_y
_atom_site_fract_z
_atom_site_occupancy
Y1 0.000 0.000 0.056 1
Ho1 0.000 0.000 0.209 1
Mg1 0.000 0.000 0.369 1
```


Top of the stability list: a, leading by 13.4 kJ/mol of atoms.


a:
Material: YHo4Mg
Method: DFT, GGA-PBE
State: optimized geometry

```
data_YHo4Mg
_space_group_name_H-M_alt 'C 1 2/c 1'
_space_group_IT_number 15
_cell_length_a 10.509
_cell_length_b 6.078
_cell_length_c 11.793
_cell_angle_alpha 90.00
_cell_angle_beta 107.54
_cell_angle_gamma 90.00
loop_
_space_group_symop_operation_xyz
'x,y,z'
'-x,-y,-z'
'-x,y,-z+1/2'
'x,-y,z+1/2'
'x+1/2,y+1/2,z'
'-x+1/2,-y+1/2,-z'
'-x+1/2,y+1/2,-z+1/2'
'x+1/2,-y+1/2,z+1/2'
loop_
_atom_site_label
_atom_site_fract_x
_atom_site_fract_y
_atom_site_fract_z
_atom_site_occupancy
Y1 0.250 0.250 0.000 1
Ho1 0.082 0.247 0.500 1
Ho2 0.166 0.416 0.250 1
Mg1 0.000 0.083 0.750 1
```


b:
Material: YHo4Mg
Method: DFT, GGA-PBE
State: optimized geometry

```
data_YHo4Mg
_space_group_name_H-M_alt 'P 4/m m m'
_space_group_IT_number 123
_space_group_name_Hall '-P 4 2'
_cell_length_a 3.543
_cell_length_b 3.543
_cell_length_c 14.337
_cell_angle_alpha 90.00
_cell_angle_beta 90.00
_cell_angle_gamma 90.00
loop_
_atom_site_label
_atom_site_fract_x
_atom_site_fract_y
_atom_site_fract_z
_atom_site_occupancy
Y1 0.000 0.000 0.000 1
Ho1 0.000 0.000 0.346 1
Ho2 0.500 0.500 0.176 1
Mg1 0.500 0.500 0.500 1
```


Top of the stability list: b, leading by 3.6 kJ/mol of atoms.


a:
Material: YHo2Mg4
Method: DFT, GGA-PBE
State: optimized geometry

```
data_YHo2Mg4
_space_group_name_H-M_alt 'I 4/m m m'
_space_group_IT_number 139
_space_group_name_Hall '-I 4 2'
_cell_length_a 5.360
_cell_length_b 5.360
_cell_length_c 14.452
_cell_angle_alpha 90.00
_cell_angle_beta 90.00
_cell_angle_gamma 90.00
loop_
_atom_site_label
_atom_site_fract_x
_atom_site_fract_y
_atom_site_fract_z
_atom_site_occupancy
Y1 0.000 0.000 0.000 1
Ho1 0.000 0.000 0.250 1
Mg1 0.000 0.500 0.118 1
```


b:
Material: YHo2Mg4
Method: DFT, GGA-PBE
State: optimized geometry

```
data_YHo2Mg4
_space_group_name_H-M_alt 'C m m m'
_space_group_IT_number 65
_space_group_name_Hall '-C 2 2'
_cell_length_a 5.955
_cell_length_b 12.922
_cell_length_c 5.446
_cell_angle_alpha 90.00
_cell_angle_beta 90.00
_cell_angle_gamma 90.00
loop_
_atom_site_label
_atom_site_fract_x
_atom_site_fract_y
_atom_site_fract_z
_atom_site_occupancy
Y1 0.000 0.000 0.000 1
Ho1 0.000 0.368 0.500 1
Mg1 0.000 0.119 0.500 1
Mg2 0.000 0.245 0.000 1
```


Top of the stability list: a, leading by 23.3 kJ/mol of atoms.


a:
Material: Y8HoMg2
Method: DFT, GGA-PBE
State: optimized geometry

```
data_Y8HoMg2
_space_group_name_H-M_alt 'C 1 2/m 1'
_space_group_IT_number 12
_cell_length_a 8.808
_cell_length_b 15.429
_cell_length_c 5.660
_cell_angle_alpha 90.00
_cell_angle_beta 114.90
_cell_angle_gamma 90.00
loop_
_space_group_symop_operation_xyz
'x,y,z'
'-x,-y,-z'
'-x,y,-z'
'x,-y,z'
'x+1/2,y+1/2,z'
'-x+1/2,-y+1/2,-z'
'-x+1/2,y+1/2,-z'
'x+1/2,-y+1/2,z'
loop_
_atom_site_label
_atom_site_fract_x
_atom_site_fract_y
_atom_site_fract_z
_atom_site_occupancy
Y1 0.000 0.214 0.000 1
Y2 0.097 0.500 0.797 1
Y3 0.208 0.112 0.626 1
Ho1 0.000 0.000 0.000 1
Mg1 0.000 0.307 0.500 1
```


b:
Material: Y8HoMg2
Method: DFT, GGA-PBE
State: optimized geometry

```
data_Y8HoMg2
_space_group_name_H-M_alt 'C 1 2/m 1'
_space_group_IT_number 12
_cell_length_a 16.568
_cell_length_b 5.363
_cell_length_c 8.439
_cell_angle_alpha 90.00
_cell_angle_beta 115.62
_cell_angle_gamma 90.00
loop_
_space_group_symop_operation_xyz
'x,y,z'
'-x,-y,-z'
'-x,y,-z'
'x,-y,z'
'x+1/2,y+1/2,z'
'-x+1/2,-y+1/2,-z'
'-x+1/2,y+1/2,-z'
'x+1/2,-y+1/2,z'
loop_
_atom_site_label
_atom_site_fract_x
_atom_site_fract_y
_atom_site_fract_z
_atom_site_occupancy
Y1 0.057 0.000 0.236 1
Y2 0.102 0.500 0.972 1
Y3 0.148 0.000 0.705 1
Y4 0.188 0.500 0.453 1
Ho1 0.000 0.500 0.500 1
Mg1 0.227 0.000 0.129 1
```


Top of the stability list: b, leading by 12.4 kJ/mol of atoms.


a:
Material: Y2HoMg
Method: DFT, GGA-PBE
State: optimized geometry

```
data_Y2HoMg
_space_group_name_H-M_alt 'P 4/m m m'
_space_group_IT_number 123
_space_group_name_Hall '-P 4 2'
_cell_length_a 3.602
_cell_length_b 3.602
_cell_length_c 9.189
_cell_angle_alpha 90.00
_cell_angle_beta 90.00
_cell_angle_gamma 90.00
loop_
_atom_site_label
_atom_site_fract_x
_atom_site_fract_y
_atom_site_fract_z
_atom_site_occupancy
Y1 0.000 0.000 0.234 1
Ho1 0.500 0.500 0.500 1
Mg1 0.500 0.500 0.000 1
```


b:
Material: Y2HoMg
Method: DFT, GGA-PBE
State: optimized geometry

```
data_Y2HoMg
_space_group_name_H-M_alt 'F m -3 m'
_space_group_IT_number 225
_space_group_name_Hall '-F 4 2 3'
_cell_length_a 7.792
_cell_length_b 7.792
_cell_length_c 7.792
_cell_angle_alpha 90.00
_cell_angle_beta 90.00
_cell_angle_gamma 90.00
loop_
_atom_site_label
_atom_site_fract_x
_atom_site_fract_y
_atom_site_fract_z
_atom_site_occupancy
Y1 0.250 0.250 0.250 1
Ho1 0.000 0.000 0.000 1
Mg1 0.000 0.000 0.500 1
```


c:
Material: Y2HoMg
Method: DFT, GGA-PBE
State: optimized geometry

```
data_Y2HoMg
_space_group_name_H-M_alt 'R -3 m'
_space_group_IT_number 166
_space_group_name_Hall '-R 3 2"'
_cell_length_a 3.4519
_cell_length_b 3.4519
_cell_length_c 36.7001
_cell_angle_alpha 90.00
_cell_angle_beta 90.00
_cell_angle_gamma 120.00
loop_
_atom_site_label
_atom_site_fract_x
_atom_site_fract_y
_atom_site_fract_z
_atom_site_occupancy
Y1 0.0000 0.0000 0.0893 1
Ho1 0.0000 0.0000 0.5000 1
Mg1 0.0000 0.0000 0.0000 1
```


Top of the stability list: a, leading by 7.7 kJ/mol of atoms.


a:
Material: Y3Ho6Mg
Method: DFT, GGA-PBE
State: optimized geometry

```
data_Y3Ho6Mg
_space_group_name_H-M_alt 'P 1 21/m 1'
_space_group_IT_number 11
_cell_length_a 11.059
_cell_length_b 4.997
_cell_length_c 11.146
_cell_angle_alpha 90.00
_cell_angle_beta 90.54
_cell_angle_gamma 90.00
loop_
_space_group_symop_operation_xyz
'x,y,z'
'-x,-y,-z'
'-x,y+1/2,-z'
'x,-y+1/2,z'
loop_
_atom_site_label
_atom_site_fract_x
_atom_site_fract_y
_atom_site_fract_z
_atom_site_occupancy
Y1 0.051 0.250 0.401 1
Y2 0.152 0.750 0.205 1
Y3 0.252 0.250 0.004 1
Ho1 0.052 0.750 0.898 1
Ho2 0.154 0.250 0.701 1
Ho3 0.256 0.750 0.503 1
Ho4 0.350 0.750 0.804 1
Ho5 0.355 0.250 0.307 1
Ho6 0.452 0.750 0.101 1
Mg1 0.451 0.250 0.600 1
```


b:
Material: Y3Ho6Mg
Method: DFT, GGA-PBE
State: optimized geometry

```
data_Y3Ho6Mg
_space_group_name_H-M_alt 'C m c 21'
_space_group_IT_number 36
_cell_length_a 9.351
_cell_length_b 14.738
_cell_length_c 9.011
_cell_angle_alpha 90.00
_cell_angle_beta 90.00
_cell_angle_gamma 90.00
loop_
_space_group_symop_operation_xyz
'x,y,z'
'-x,-y,z+1/2'
'-x,y,z'
'x,-y,z+1/2'
'x+1/2,y+1/2,z'
'-x+1/2,-y+1/2,z+1/2'
'-x+1/2,y+1/2,z'
'x+1/2,-y+1/2,z+1/2'
loop_
_atom_site_label
_atom_site_fract_x
_atom_site_fract_y
_atom_site_fract_z
_atom_site_occupancy
Y1 0.000 0.035 0.000 1
Y2 0.177 0.355 0.509 1
Ho1 0.000 0.202 0.726 1
Ho2 0.000 0.435 0.857 1
Ho3 0.176 0.151 0.341 1
Ho4 0.214 0.431 0.173 1
Mg1 0.000 0.261 0.080 1
```


Top of the stability list: a, leading by 10.2 kJ/mol of atoms.


a:
Material: YHo3Mg
Method: DFT, GGA-PBE
State: optimized geometry

```
data_YHo3Mg
_space_group_name_H-M_alt 'C 1 2/m 1'
_space_group_IT_number 12
_cell_length_a 12.830
_cell_length_b 3.634
_cell_length_c 12.833
_cell_angle_alpha 90.00
_cell_angle_beta 93.81
_cell_angle_gamma 90.00
loop_
_space_group_symop_operation_xyz
'x,y,z'
'-x,-y,-z'
'-x,y,-z'
'x,-y,z'
'x+1/2,y+1/2,z'
'-x+1/2,-y+1/2,-z'
'-x+1/2,y+1/2,-z'
'x+1/2,-y+1/2,z'
loop_
_atom_site_label
_atom_site_fract_x
_atom_site_fract_y
_atom_site_fract_z
_atom_site_occupancy
Y1 0.235 0.000 0.261 1
Ho1 0.034 0.000 0.688 1
Ho2 0.134 0.500 0.479 1
Ho3 0.149 0.000 0.939 1
Mg1 0.061 0.500 0.124 1
```


b:
Material: YHo3Mg
Method: DFT, GGA-PBE
State: optimized geometry

```
data_YHo3Mg
_space_group_name_H-M_alt 'C 1 2/m 1'
_space_group_IT_number 12
_cell_length_a 11.292
_cell_length_b 5.176
_cell_length_c 10.272
_cell_angle_alpha 90.00
_cell_angle_beta 96.34
_cell_angle_gamma 90.00
loop_
_space_group_symop_operation_xyz
'x,y,z'
'-x,-y,-z'
'-x,y,-z'
'x,-y,z'
'x+1/2,y+1/2,z'
'-x+1/2,-y+1/2,-z'
'-x+1/2,y+1/2,-z'
'x+1/2,-y+1/2,z'
loop_
_atom_site_label
_atom_site_fract_x
_atom_site_fract_y
_atom_site_fract_z
_atom_site_occupancy
Y1 0.154 0.000 0.054 1
Ho1 0.034 0.500 0.837 1
Ho2 0.083 0.000 0.372 1
Ho3 0.229 0.000 0.726 1
Mg1 0.129 0.500 0.550 1
```


Top of the stability list: a, leading by 2.5 kJ/mol of atoms.


a:
Material: YHo2Mg2
Method: DFT, GGA-PBE
State: optimized geometry

```
data_YHo2Mg2
_space_group_name_H-M_alt 'P 4/m b m'
_space_group_IT_number 127
_space_group_name_Hall '-P 4 2ab'
_cell_length_a 8.968
_cell_length_b 8.968
_cell_length_c 3.547
_cell_angle_alpha 90.00
_cell_angle_beta 90.00
_cell_angle_gamma 90.00
loop_
_atom_site_label
_atom_site_fract_x
_atom_site_fract_y
_atom_site_fract_z
_atom_site_occupancy
Y1 0.000 0.000 0.000 1
Ho1 0.129 0.371 0.000 1
Mg1 0.169 0.669 0.500 1
```


b:
Material: YHo2Mg2
Method: DFT, GGA-PBE
State: optimized geometry

```
data_YHo2Mg2
_space_group_name_H-M_alt 'P 1 21/m 1'
_space_group_IT_number 11
_cell_length_a 3.721
_cell_length_b 5.418
_cell_length_c 14.026
_cell_angle_alpha 90.00
_cell_angle_beta 97.62
_cell_angle_gamma 90.00
loop_
_space_group_symop_operation_xyz
'x,y,z'
'-x,-y,-z'
'-x,y+1/2,-z'
'x,-y+1/2,z'
loop_
_atom_site_label
_atom_site_fract_x
_atom_site_fract_y
_atom_site_fract_z
_atom_site_occupancy
Y1 0.151 0.250 0.302 1
Ho1 0.045 0.750 0.088 1
Ho2 0.237 0.750 0.474 1
Mg1 0.360 0.250 0.720 1
Mg2 0.446 0.750 0.894 1
```


Top of the stability list: b, leading by 13.7 kJ/mol of atoms.


a:
Material: Y3HoMg
Method: DFT, GGA-PBE
State: optimized geometry

```
data_Y3HoMg
_space_group_name_H-M_alt 'P 1 21/m 1'
_space_group_IT_number 11
_cell_length_a 3.497
_cell_length_b 6.941
_cell_length_c 12.890
_cell_angle_alpha 90.00
_cell_angle_beta 97.78
_cell_angle_gamma 90.00
loop_
_space_group_symop_operation_xyz
'x,y,z'
'-x,-y,-z'
'-x,y+1/2,-z'
'x,-y+1/2,z'
loop_
_atom_site_label
_atom_site_fract_x
_atom_site_fract_y
_atom_site_fract_z
_atom_site_occupancy
Y1 0.099 0.009 0.199 1
Y2 0.295 0.750 0.589 1
Ho1 0.499 0.250 0.997 1
Mg1 0.314 0.250 0.630 1
```


b:
Material: Y3HoMg
Method: DFT, GGA-PBE
State: optimized geometry

```
data_Y3HoMg
_space_group_name_H-M_alt 'C 1 2/m 1'
_space_group_IT_number 12
_cell_length_a 28.461
_cell_length_b 3.576
_cell_length_c 5.973
_cell_angle_alpha 90.00
_cell_angle_beta 93.75
_cell_angle_gamma 90.00
loop_
_space_group_symop_operation_xyz
'x,y,z'
'-x,-y,-z'
'-x,y,-z'
'x,-y,z'
'x+1/2,y+1/2,z'
'-x+1/2,-y+1/2,-z'
'-x+1/2,y+1/2,-z'
'x+1/2,-y+1/2,z'
loop_
_atom_site_label
_atom_site_fract_x
_atom_site_fract_y
_atom_site_fract_z
_atom_site_occupancy
Y1 0.047 0.000 0.212 1
Y2 0.144 0.000 0.874 1
Y3 0.152 0.500 0.374 1
Ho1 0.247 0.500 0.752 1
Mg1 0.050 0.500 0.702 1
```


Top of the stability list: b, leading by 6.3 kJ/mol of atoms.


a:
Material: Y2Ho2Mg3
Method: DFT, GGA-PBE
State: optimized geometry

```
data_Y2Ho2Mg3
_space_group_name_H-M_alt 'I 4/m m m'
_space_group_IT_number 139
_space_group_name_Hall '-I 4 2'
_cell_length_a 3.748
_cell_length_b 3.748
_cell_length_c 27.804
_cell_angle_alpha 90.00
_cell_angle_beta 90.00
_cell_angle_gamma 90.00
loop_
_atom_site_label
_atom_site_fract_x
_atom_site_fract_y
_atom_site_fract_z
_atom_site_occupancy
Y1 0.000 0.000 0.068 1
Ho1 0.000 0.000 0.208 1
Mg1 0.000 0.000 0.361 1
Mg2 0.000 0.000 0.500 1
```


b:
Material: Y2Ho2Mg3
Method: DFT, GGA-PBE
State: optimized geometry

```
data_Y2Ho2Mg3
_space_group_name_H-M_alt 'P -1'
_space_group_IT_number 2
_cell_length_a 3.512
_cell_length_b 7.123
_cell_length_c 8.962
_cell_angle_alpha 68.60
_cell_angle_beta 78.81
_cell_angle_gamma 75.79
loop_
_space_group_symop_operation_xyz
'x,y,z'
'-x,-y,-z'
loop_
_atom_site_label
_atom_site_fract_x
_atom_site_fract_y
_atom_site_fract_z
_atom_site_occupancy
Y1 0.106 0.237 0.046 1
Ho1 0.368 0.445 0.318 1
Mg1 0.000 0.000 0.500 1
Mg2 0.324 0.146 0.710 1
```


Top of the stability list: a, leading by 10.1 kJ/mol of atoms.


a:
Material: Y4Ho7Mg
Method: DFT, GGA-PBE
State: optimized geometry

```
data_Y4Ho7Mg
_space_group_name_H-M_alt 'P -3 m 1'
_space_group_IT_number 164
_space_group_name_Hall '-P 3 2"'
_cell_length_a 5.5744
_cell_length_b 5.5744
_cell_length_c 13.8839
_cell_angle_alpha 90.00
_cell_angle_beta 90.00
_cell_angle_gamma 120.00
loop_
_atom_site_label
_atom_site_fract_x
_atom_site_fract_y
_atom_site_fract_z
_atom_site_occupancy
Y1 0.3333 0.6667 0.1807 1
Y2 0.3333 0.6667 0.4269 1
Ho1 0.0000 0.0000 0.2350 1
Ho2 0.0000 0.0000 0.5000 1
Ho3 0.3333 0.6667 0.6748 1
Ho4 0.3333 0.6667 0.9242 1
Mg1 0.0000 0.0000 0.0000 1
```


b:
Material: Y4Ho7Mg
Method: DFT, GGA-PBE
State: optimized geometry

```
data_Y4Ho7Mg
_space_group_name_H-M_alt 'C 1 2/m 1'
_space_group_IT_number 12
_cell_length_a 11.962
_cell_length_b 5.796
_cell_length_c 12.553
_cell_angle_alpha 90.00
_cell_angle_beta 116.93
_cell_angle_gamma 90.00
loop_
_space_group_symop_operation_xyz
'x,y,z'
'-x,-y,-z'
'-x,y,-z'
'x,-y,z'
'x+1/2,y+1/2,z'
'-x+1/2,-y+1/2,-z'
'-x+1/2,y+1/2,-z'
'x+1/2,-y+1/2,z'
loop_
_atom_site_label
_atom_site_fract_x
_atom_site_fract_y
_atom_site_fract_z
_atom_site_occupancy
Y1 0.129 0.000 0.272 1
Y2 0.171 0.500 0.139 1
Ho1 0.000 0.000 0.500 1
Ho2 0.091 0.500 0.781 1
Ho3 0.133 0.000 0.983 1
Ho4 0.202 0.500 0.426 1
Mg1 0.000 0.500 0.500 1
```


Top of the stability list: a, leading by 16.5 kJ/mol of atoms.